Entry one
Entry from the Alexandria database: a geometry-optimized VReI2O structure (PBE with a Hubbard U).

The symmetry is No. 123. As for the total magnetization: 1.2 μB per cell.

a b c (Å): 5.5897 5.5897 3.7661
angles (deg): 90.00 90.00 90.00
Last column: nearest neighbours and their distance in Å.
Positions (direct):
O (0.0000, 0.0000, 0.5000)  2 Re 1.88
V (0.5000, 0.5000, 0.5000)  8 I 3.37, 2 V 3.77
I (0.0000, 0.5000, 0.0000)  2 Re 2.79
I (0.5000, 0.0000, 0.0000)  2 Re 2.79
Re (0.0000, 0.0000, 0.0000)  2 O 1.88

Entry two
Entry from the Alexandria database: a geometry-optimized VReI2O structure (PBE with a Hubbard U).

The symmetry is No. 123. As for the total magnetization: 6.4 μB per cell.

a b c (Å): 5.7855 5.7855 3.6494
angles (deg): 90.00 90.00 90.00
Last column: nearest neighbours and their distance in Å.
Positions (direct):
I (0.0000, 0.5000, 0.0000)  2 V 2.89
I (0.5000, 0.0000, 0.0000)  2 V 2.89
Re (0.5000, 0.5000, 0.5000)  8 I 3.42, 2 Re 3.65
V (0.0000, 0.0000, 0.0000)  2 O 1.82
O (0.0000, 0.0000, 0.5000)  2 V 1.82

Q: Which of them is the most stable? A: entry one.